1.
A PBEsol-optimized structure of ZrTi2Al2. Source: Alexandria, functional SCAN.

Output
E_form	-0.337	eV/atom
crystal system	tetragonal
DOS at the Fermi energy	1.01	states/eV/atom

Cell: 7.4378 7.4378 3.1420 Å, 90.00 90.00 90.00°
Space group P4/mbm (No. 127)
Asymmetric unit:
Zr 0.0000 0.0000 0.0000 (multiplicity 2)
Ti 0.1756 0.3244 0.5000 (multiplicity 4)
Al 0.1221 0.6221 0.0000 (multiplicity 4)

2.
A PBEsol-optimized structure of CoSb2Rh. Source: Alexandria, functional SCAN.

Output
crystal system	cubic
DOS at the Fermi energy	0.68	states/eV/atom
formation energy (no corrections)	0.22	eV per atom

Cell: 6.4150 6.4150 6.4150 Å, 90.00 90.00 90.00°
Space group Fm-3m (No. 225)
Asymmetric unit:
Co 0.0000 0.0000 0.0000 (multiplicity 4)
Sb 0.2500 0.2500 0.2500 (multiplicity 8)
Rh 0.0000 0.0000 0.5000 (multiplicity 4)

3.
A PBEsol-optimized structure of Li2CrOs. Source: Alexandria, functional SCAN.

Output
E_form	0.372	eV/atom
crystal system	orthorhombic
DOS at the Fermi energy	0.58	states/eV/atom

Cell: 2.7023 4.2209 9.2734 Å, 90.00 90.00 90.00°
Space group Cmmm (No. 65)
Asymmetric unit:
Li 0.0000 0.0000 0.2447 (multiplicity 4)
Cr 0.0000 0.5000 0.5000 (multiplicity 2)
Os 0.0000 0.5000 0.0000 (multiplicity 2)

4.
A PBEsol-optimized structure of SrRe2Ir. Source: Alexandria, functional SCAN.

Output
E_form	1.072	eV/atom
crystal system	tetragonal
DOS at the Fermi energy	0.96	states/eV/atom

Cell: 2.7520 2.7520 9.9176 Å, 90.00 90.00 90.00°
Space group P4mm (No. 99)
Asymmetric unit:
Sr 0.0000 0.0000 0.0000 (multiplicity 1)
Re 0.0000 0.0000 0.3127 (multiplicity 1)
Re 0.5000 0.5000 0.7384 (multiplicity 1)
Ir 0.5000 0.5000 0.4825 (multiplicity 1)

5.
A PBEsol-optimized structure of TiNi. Source: Alexandria, functional SCAN.

Output
E_form	-0.297	eV/atom
crystal system	tetragonal
DOS at the Fermi energy	1.37	states/eV/atom

Cell: 3.0576 3.0576 5.6080 Å, 90.00 90.00 90.00°
Space group P4/nmm (No. 129, origin choice 2)
Asymmetric unit:
Ti 0.2500 0.2500 0.1600 (multiplicity 2)
Ni 0.2500 0.2500 0.6258 (multiplicity 2)

6.
A PBEsol-optimized structure of BaBeOs2. Source: Alexandria, functional SCAN.

Output
E_form	-0.062	eV/atom
crystal system	monoclinic
DOS at the Fermi energy	0.19	states/eV/atom

Cell: 7.2904 4.2131 6.2482 Å, 90.00 112.95 90.00°
Space group Cm (No. 8)
Asymmetric unit:
Ba 0.0000 0.0000 0.0000 (multiplicity 2)
Be 0.1775 0.0000 0.5322 (multiplicity 2)
Os 0.3185 0.5000 0.4543 (multiplicity 2)
Os 0.4990 0.0000 0.4967 (multiplicity 2)

7.
A PBEsol-optimized structure of SiBF3. Source: Alexandria, functional SCAN.

Output
crystal system	cubic
DOS at the Fermi energy	0.37	states/eV/atom
formation energy (no corrections)	-0.58	eV per atom

Cell: 3.9941 3.9941 3.9941 Å, 90.00 90.00 90.00°
Space group Pm-3m (No. 221)
Asymmetric unit:
Si 0.0000 0.0000 0.0000 (multiplicity 1)
B 0.5000 0.5000 0.5000 (multiplicity 1)
F 0.0000 0.0000 0.5000 (multiplicity 3)

8.
A PBEsol-optimized structure of ZrHBr. Source: Alexandria, functional SCAN.

Output
crystal system	trigonal
raw total energy	-18.822	eV per atom
DOS at the Fermi energy	0.21	states/eV/atom

Cell: 3.3810 3.3810 9.9627 Å, 90.00 90.00 120.00°
Space group P-3m1 (No. 164)
Asymmetric unit:
Zr 0.3333 0.6667 0.1457 (multiplicity 2)
H 0.3333 0.6667 0.9413 (multiplicity 2)
Br 0.3333 0.6667 0.6653 (multiplicity 2)